Entry from Alexandria: a relaxed FeCo3 crystal (GGA-PBEsol).

Magnetization in μB/atom: 1.94
ΔE_f in eV per atom: 0.057
DOS at the Fermi energy in states/eV/f.u.: 3.77
Calculated volume in Å³ per atom: 10.72

a = 2.775 Å, b = 4.613 Å, c = 7.211 Å
α = 80.12°, β = 78.91°, γ = 72.50°
Each line ends with the local moment (μB).
Sites, in units of the cell vectors:
Co  0.376  0.316  0.932  1.72
Co  0.872  0.071  0.186  1.72
Co  0.378  0.808  0.437  1.71
Co  0.622  0.192  0.563  1.71
Fe  0.874  0.564  0.687  2.65
Co  0.128  0.929  0.814  1.72
Fe  0.126  0.436  0.313  2.65
Co  0.624  0.684  0.068  1.72